<a>
VASP calculation (PBE-GGA) on a relaxed CaY3O crystal.

The structure in POSCAR format:
```
CaY3O
1.0
5.554 0.000 0.000
0.000 5.554 0.000
0.000 0.000 5.554
O Y Ca
1 3 1
direct
0.500 0.500 0.500
0.000 0.500 0.000
0.500 0.000 0.000
0.000 0.000 0.500
0.000 0.000 0.000
```

Results
symmetry	Pm-3m (221)
M_tot	0.00	μB per atom



<b>
VASP calculation (PBE-GGA) on a relaxed CaY3O crystal.

The structure in POSCAR format:
```
CaY3O
1.0
5.005 0.000 0.000
0.000 5.005 0.000
0.000 0.000 5.005
Ca Y O
1 3 1
direct
0.500 0.500 0.500
0.500 0.000 0.000
0.000 0.500 0.000
0.000 0.000 0.500
0.000 0.000 0.000
```

Results
symmetry	Pm-3m (221)
M_tot	0.00	μB per atom



Energy comparison, zero being the most stable, in eV/atom: <a> 2.367; <b> 0.000.



<a>
VASP calculation (PBE-GGA) on a relaxed Ca2ZnO3 crystal.

The structure in POSCAR format:
```
Ca2ZnO3
1.0
4.893 0.000 0.000
0.000 6.556 -0.040
0.000 -3.247 5.695
Ca O Zn
4 6 2
direct
0.000 0.163 0.483
0.500 0.517 0.837
0.500 0.837 0.517
0.000 0.483 0.163
0.950 0.133 0.133
0.489 0.479 0.170
0.489 0.170 0.479
0.989 0.830 0.521
0.989 0.521 0.830
0.450 0.867 0.867
0.529 0.162 0.162
0.029 0.838 0.838
```

Results
symmetry	Cmc2_1 (36)
M_tot	0.00	μB per atom



<b>
VASP calculation (PBE-GGA) on a relaxed Ca2ZnO3 crystal.

The structure in POSCAR format:
```
Ca2ZnO3
1.0
3.176 -0.125 -0.883
-0.383 4.305 -1.986
-0.308 -0.004 5.747
O Ca Zn
3 2 1
direct
0.127 0.155 0.310
0.873 0.845 0.690
0.500 0.500 0.000
0.829 0.336 0.672
0.171 0.664 0.328
0.500 0.000 0.000
```

Results
symmetry	C2/m (12)
M_tot	0.00	μB per atom



Energy comparison, zero being the most stable, in eV/atom: <a> 0.000; <b> 0.016.



<a>
VASP calculation (PBE-GGA) on a relaxed CaZn3O crystal.

The structure in POSCAR format:
```
CaZn3O
1.0
5.809 0.000 0.000
0.000 5.809 0.000
0.000 0.000 5.809
Zn Ca O
3 1 1
direct
0.500 0.000 0.000
0.000 0.000 0.500
0.000 0.500 0.000
0.000 0.000 0.000
0.500 0.500 0.500
```

Results
symmetry	Pm-3m (221)
M_tot	0.00	μB per atom



<b>
VASP calculation (PBE-GGA) on a relaxed CaZn3O crystal.

The structure in POSCAR format:
```
CaZn3O
1.0
-1.123 3.742 2.260
-3.963 -1.856 1.103
1.844 -1.710 3.748
O Zn Ca
1 3 1
direct
0.000 0.000 0.000
0.000 0.000 0.500
0.500 0.000 0.000
0.000 0.500 0.000
0.500 0.500 0.500
```

Results
symmetry	Pm-3m (221)
M_tot	0.00	μB per atom



Energy comparison, zero being the most stable, in eV/atom: <a> 1.200; <b> 0.000.



<a>
VASP calculation (PBE-GGA) on a relaxed Ca2ZrO crystal.

The structure in POSCAR format:
```
Ca2ZrO
1.0
-0.203 5.155 -4.658
0.781 -4.614 -5.140
-4.386 -0.185 -5.200
O Ca Zr
2 4 2
direct
0.250 0.750 0.500
0.500 0.500 0.000
0.294 0.625 0.250
0.875 0.706 0.750
0.375 0.544 0.750
0.456 0.125 0.250
0.750 0.250 0.500
0.000 0.000 0.000
```

Results
symmetry	I-42d (122)
M_tot	0.55	μB per atom



<b>
VASP calculation (PBE-GGA) on a relaxed Ca2ZrO crystal.

The structure in POSCAR format:
```
Ca2ZrO
1.0
-4.397 -2.576 1.202
-4.383 2.658 1.069
-3.998 -0.076 -3.381
Ca O Zr
2 1 1
direct
0.250 0.250 0.250
0.750 0.750 0.750
0.000 0.000 0.000
0.500 0.500 0.500
```

Results
symmetry	Fm-3m (225)
M_tot	1.00	μB per atom



Energy comparison, zero being the most stable, in eV/atom: <a> 0.000; <b> 1.204.



<a>
VASP calculation (PBE-GGA) on a relaxed CaZr4O9 crystal.

The structure in POSCAR format:
```
CaZr4O9
1.0
11.633 0.003 -0.002
2.209 11.421 -0.002
4.599 3.796 10.630
Zr O Ca
32 72 8
direct
0.211 0.581 0.551
0.885 0.745 0.348
0.186 0.814 0.250
0.152 0.064 0.935
0.992 0.378 0.177
0.848 0.936 0.065
0.666 0.514 0.950
0.514 0.666 0.450
0.252 0.358 0.880
0.936 0.848 0.565
0.065 0.697 0.050
0.748 0.642 0.120
0.303 0.935 0.450
0.935 0.303 0.950
0.115 0.255 0.652
0.642 0.748 0.620
0.486 0.334 0.550
0.255 0.115 0.152
0.313 0.687 0.750
0.687 0.313 0.250
0.334 0.486 0.050
0.697 0.065 0.550
0.419 0.789 0.949
0.745 0.885 0.848
0.622 0.008 0.323
0.581 0.211 0.051
0.064 0.152 0.435
0.008 0.622 0.823
0.358 0.252 0.380
0.378 0.992 0.677
0.814 0.186 0.750
0.789 0.419 0.449
0.118 0.505 0.144
0.195 0.542 0.746
0.280 0.925 0.286
0.278 0.878 0.652
0.148 0.993 0.129
0.960 0.324 0.377
0.363 0.779 0.132
0.878 0.278 0.152
0.925 0.280 0.786
0.722 0.122 0.348
0.040 0.676 0.623
0.673 0.577 0.762
0.895 0.046 0.477
0.423 0.327 0.738
0.277 0.163 0.955
0.553 0.903 0.920
0.351 0.507 0.862
0.882 0.495 0.856
0.221 0.637 0.368
0.263 0.131 0.329
0.516 0.395 0.990
0.274 0.317 0.059
0.163 0.277 0.455
0.605 0.484 0.510
0.131 0.263 0.829
0.811 0.925 0.260
0.683 0.726 0.441
0.779 0.363 0.632
0.327 0.423 0.238
0.903 0.553 0.420
0.726 0.683 0.941
0.484 0.605 0.010
0.852 0.007 0.871
0.189 0.075 0.740
0.062 0.396 0.977
0.493 0.649 0.638
0.505 0.118 0.644
0.837 0.723 0.545
0.046 0.895 0.977
0.604 0.938 0.523
0.495 0.882 0.356
0.925 0.811 0.760
0.993 0.148 0.629
0.097 0.447 0.580
0.869 0.737 0.171
0.731 0.318 0.025
0.723 0.837 0.045
0.396 0.062 0.477
0.682 0.269 0.475
0.122 0.722 0.848
0.007 0.852 0.371
0.507 0.351 0.362
0.318 0.731 0.525
0.105 0.954 0.523
0.269 0.682 0.975
0.649 0.493 0.138
0.324 0.960 0.877
0.447 0.097 0.080
0.395 0.516 0.490
0.458 0.805 0.754
0.954 0.105 0.023
0.805 0.458 0.254
0.938 0.604 0.023
0.720 0.075 0.714
0.075 0.720 0.214
0.317 0.274 0.559
0.637 0.221 0.868
0.075 0.189 0.240
0.676 0.040 0.123
0.577 0.673 0.262
0.542 0.195 0.246
0.737 0.869 0.671
0.563 0.437 0.750
0.886 0.512 0.650
0.488 0.114 0.850
0.064 0.936 0.750
0.512 0.886 0.150
0.437 0.563 0.250
0.936 0.064 0.250
0.114 0.488 0.350
```

Results
symmetry	C2/c (15)
M_tot	0.00	μB per atom



<b>
VASP calculation (PBE-GGA) on a relaxed CaZr4O9 crystal.

The structure in POSCAR format:
```
CaZr4O9
1.0
-4.623 -16.069 0.632
-2.567 -16.164 3.481
-4.871 1.315 3.561
O Zr Ca
18 8 2
direct
0.285 0.285 0.021
0.715 0.715 0.979
0.332 0.332 0.656
0.928 0.928 0.558
0.609 0.609 0.687
0.072 0.072 0.442
0.433 0.433 0.935
0.668 0.668 0.344
0.818 0.818 0.257
0.974 0.974 0.192
0.026 0.026 0.808
0.872 0.872 0.893
0.567 0.567 0.065
0.128 0.128 0.107
0.770 0.770 0.621
0.391 0.391 0.313
0.182 0.182 0.743
0.230 0.230 0.379
0.191 0.191 0.105
0.293 0.293 0.382
0.809 0.809 0.895
0.914 0.914 0.166
0.395 0.395 0.671
0.086 0.086 0.834
0.605 0.605 0.329
0.707 0.707 0.618
0.500 0.500 0.000
0.000 0.000 0.500
```

Results
symmetry	C2/m (12)
M_tot	0.00	μB per atom



Energy comparison, zero being the most stable, in eV/atom: <a> 0.000; <b> 0.086.



<a>
VASP calculation (PBE-GGA) on a relaxed CaZr2O crystal.

The structure in POSCAR format:
```
CaZr2O
1.0
-3.122 1.323 -0.554
-2.088 -1.438 -2.318
-4.949 -5.095 5.072
O Ca Zr
1 1 2
direct
0.500 0.500 0.500
0.000 0.000 0.000
0.877 0.877 0.368
0.123 0.123 0.632
```

Results
symmetry	R-3m (166)
M_tot	0.00	μB per atom



<b>
VASP calculation (PBE-GGA) on a relaxed CaZr2O crystal.

The structure in POSCAR format:
```
CaZr2O
1.0
0.000 3.438 3.438
3.438 0.000 3.438
3.438 3.438 0.000
O Zr Ca
1 2 1
direct
0.000 0.000 0.000
0.750 0.750 0.750
0.250 0.250 0.250
0.500 0.500 0.500
```

Results
symmetry	Fm-3m (225)
M_tot	0.00	μB per atom



Energy comparison, zero being the most stable, in eV/atom: <a> 0.000; <b> 1.604.



<a>
VASP calculation (PBE-GGA) on a relaxed CaZr3O crystal.

The structure in POSCAR format:
```
CaZr3O
1.0
4.658 0.000 0.000
0.000 4.658 0.000
0.000 0.000 4.658
Zr O Ca
3 1 1
direct
0.500 0.000 0.000
0.000 0.500 0.000
0.000 0.000 0.500
0.000 0.000 0.000
0.500 0.500 0.500
```

Results
symmetry	Pm-3m (221)
M_tot	0.00	μB per atom



<b>
VASP calculation (PBE-GGA) on a relaxed CaZr3O crystal.

The structure in POSCAR format:
```
CaZr3O
1.0
5.057 0.000 0.000
0.000 5.057 0.000
0.000 0.000 5.057
Zr Ca O
3 1 1
direct
0.500 0.000 0.000
0.000 0.500 0.000
0.000 0.000 0.500
0.000 0.000 0.000
0.500 0.500 0.500
```

Results
symmetry	Pm-3m (221)
M_tot	0.00	μB per atom



Energy comparison, zero being the most stable, in eV/atom: <a> 0.000; <b> 2.811.



<a>
VASP calculation (PBE-GGA) on a relaxed CaOs3 crystal.

The structure in POSCAR format:
```
CaOs3
1.0
-3.098 0.206 -2.564
-2.532 -0.947 2.984
-0.450 3.908 0.858
Os Ca
3 1
direct
0.000 0.500 0.500
0.500 0.500 0.000
0.500 0.000 0.500
0.000 0.000 0.000
```

Results
symmetry	Pm-3m (221)
M_tot	0.00	μB per atom



<b>
VASP calculation (PBE-GGA) on a relaxed CaOs3 crystal.

The structure in POSCAR format:
```
CaOs3
1.0
-5.795 2.005 7.481
-3.988 0.320 8.807
-3.410 3.049 8.523
Ca Os
1 3
direct
0.000 0.000 0.000
0.242 0.242 0.242
0.500 0.500 0.500
0.758 0.758 0.758
```

Results
symmetry	R-3m (166)
M_tot	0.00	μB per atom



<c>
VASP calculation (PBE-GGA) on a relaxed CaOs3 crystal.

The structure in POSCAR format:
```
CaOs3
1.0
5.746 0.000 0.000
-2.873 4.976 0.000
0.000 0.000 9.132
Ca Os
4 12
direct
0.000 0.000 0.500
0.667 0.333 0.750
0.333 0.667 0.250
0.000 0.000 0.000
0.000 0.500 0.500
0.171 0.343 0.750
0.829 0.657 0.250
0.657 0.829 0.750
0.500 0.000 0.000
0.000 0.500 0.000
0.343 0.171 0.250
0.500 0.500 0.500
0.500 0.500 0.000
0.829 0.171 0.250
0.500 0.000 0.500
0.171 0.829 0.750
```

Results
symmetry	P6_3/mmc (194)
M_tot	0.00	μB per atom



<d>
VASP calculation (PBE-GGA) on a relaxed CaOs3 crystal.

The structure in POSCAR format:
```
CaOs3
1.0
-1.124 2.302 -1.150
-1.442 0.476 2.362
6.440 4.641 2.996
Os Ca
3 1
direct
0.500 0.500 0.287
0.000 0.000 0.500
0.500 0.500 0.713
0.000 0.000 0.000
```

Results
symmetry	P4/mmm (123)
M_tot	0.00	μB per atom



Energy comparison, zero being the most stable, in eV/atom: <a> 0.440; <b> 0.152; <c> 0.417; <d> 0.000.



<a>
VASP calculation (PBE-GGA) on a relaxed CaOs3 crystal.

The structure in POSCAR format:
```
CaOs3
1.0
5.006 0.026 0.000
-1.646 4.728 0.000
0.000 0.000 2.709
Os Ca
3 1
direct
0.500 0.000 0.500
0.500 0.500 0.000
0.000 0.500 0.500
0.000 0.000 0.000
```

Results
symmetry	Cmmm (65)
M_tot	0.00	μB per atom



<b>
VASP calculation (PBE-GGA) on a relaxed CaOs3 crystal.

The structure in POSCAR format:
```
CaOs3
1.0
4.699 0.000 0.000
0.000 4.699 0.000
0.000 0.000 2.918
Os Ca
3 1
direct
0.500 0.500 0.000
0.500 0.000 0.500
0.000 0.500 0.500
0.000 0.000 0.000
```

Results
symmetry	P4/mmm (123)
M_tot	0.00	μB per atom



Energy comparison, zero being the most stable, in eV/atom: <a> 0.000; <b> 0.091.